(i)
Density functional theory data (PBE) for Al2Zn4Ag5 after structural relaxation.

Structure (POSCAR):
```
Al2Zn4Ag5
1.0
5.263 0.000 0.000
0.000 15.397 0.000
0.000 0.000 4.458
Al Zn Ag
4 8 10
direct
0.138 0.206 0.000
0.362 0.706 0.000
0.638 0.294 0.000
0.862 0.794 0.000
0.159 0.376 0.000
0.222 0.037 0.000
0.278 0.537 0.000
0.341 0.876 0.000
0.659 0.124 0.000
0.722 0.463 0.000
0.778 0.963 0.000
0.841 0.624 0.000
0.000 0.500 0.500
0.023 0.900 0.500
0.045 0.703 0.500
0.455 0.203 0.500
0.477 0.400 0.500
0.500 0.000 0.500
0.523 0.600 0.500
0.545 0.797 0.500
0.955 0.297 0.500
0.977 0.100 0.500
```

Output
- D(E_F) (states/eV per atom) = 0.283
- SG = Pbam, No. 55

---

(ii)
Density functional theory data (PBE) for Al2Zn4Ag5 after structural relaxation.

Structure (POSCAR):
```
Al2Zn4Ag5
1.0
-1.420 4.366 7.806
1.420 -4.366 7.806
1.420 4.366 -7.806
Al Zn Ag
2 4 5
direct
0.169 0.169 0.000
0.831 0.831 0.000
0.270 0.000 0.270
0.420 0.420 0.000
0.580 0.580 0.000
0.730 0.000 0.730
0.000 0.500 0.500
0.141 0.813 0.328
0.485 0.813 0.672
0.515 0.187 0.328
0.859 0.187 0.672
```

Output
- D(E_F) (states/eV per atom) = 0.314
- SG = Immm, No. 71

---

Most stable: (i). Least stable: (ii).

---

(i)
Density functional theory data (PBE) for ZrAl2Ag after structural relaxation.

Structure (POSCAR):
```
ZrAl2Ag
1.0
3.034 0.000 0.000
0.000 3.967 0.000
0.000 0.000 6.058
Zr Al Ag
1 2 1
direct
0.000 0.000 0.000
0.000 0.000 0.515
0.500 0.500 0.747
0.500 0.500 0.290
```

Output
- D(E_F) (states/eV per atom) = 0.538
- SG = Pmm2, No. 25

---

(ii)
Density functional theory data (PBE) for ZrAl2Ag after structural relaxation.

Structure (POSCAR):
```
ZrAl2Ag
1.0
4.068 0.000 0.000
0.000 4.068 0.000
0.000 0.000 8.838
Zr Al Ag
2 4 2
direct
0.000 0.000 0.000
0.500 0.500 0.500
0.000 0.000 0.500
0.000 0.500 0.750
0.500 0.000 0.250
0.500 0.500 0.000
0.000 0.500 0.250
0.500 0.000 0.750
```

Output
- D(E_F) (states/eV per atom) = 0.557
- SG = I-4m2, No. 119

---

(iii)
Density functional theory data (PBE) for ZrAl2Ag after structural relaxation.

Structure (POSCAR):
```
ZrAl2Ag
1.0
2.951 0.000 0.000
0.000 5.221 0.000
0.000 0.000 9.655
Zr Al Ag
2 4 2
direct
0.000 0.000 0.000
0.500 0.500 0.500
0.000 0.500 0.235
0.000 0.500 0.765
0.500 0.000 0.265
0.500 0.000 0.735
0.000 0.000 0.500
0.500 0.500 0.000
```

Output
- D(E_F) (states/eV per atom) = 0.686
- SG = Immm, No. 71

---

Most stable: (ii). Least stable: (iii).

---

(i)
Density functional theory data (PBE) for ZrAl2Ag after structural relaxation.

Structure (POSCAR):
```
ZrAl2Ag
1.0
6.599 0.000 0.000
0.000 6.599 0.000
0.000 0.000 6.599
Zr Al Ag
4 8 4
direct
0.000 0.000 0.000
0.000 0.500 0.500
0.500 0.000 0.500
0.500 0.500 0.000
0.250 0.250 0.250
0.250 0.250 0.750
0.250 0.750 0.250
0.250 0.750 0.750
0.750 0.250 0.250
0.750 0.250 0.750
0.750 0.750 0.250
0.750 0.750 0.750
0.000 0.000 0.500
0.000 0.500 0.000
0.500 0.000 0.000
0.500 0.500 0.500
```

Output
- D(E_F) (states/eV per atom) = 0.668
- SG = Fm-3m, No. 225

---

(ii)
Density functional theory data (PBE) for ZrAl2Ag after structural relaxation.

Structure (POSCAR):
```
ZrAl2Ag
1.0
6.644 0.000 0.000
0.000 6.644 0.000
0.000 0.000 6.644
Zr Al Ag
4 8 4
direct
0.000 0.000 0.000
0.000 0.500 0.500
0.500 0.000 0.500
0.500 0.500 0.000
0.000 0.000 0.500
0.000 0.500 0.000
0.250 0.250 0.250
0.250 0.750 0.750
0.500 0.000 0.000
0.500 0.500 0.500
0.750 0.250 0.750
0.750 0.750 0.250
0.250 0.250 0.750
0.250 0.750 0.250
0.750 0.250 0.250
0.750 0.750 0.750
```

Output
- D(E_F) (states/eV per atom) = 0.418
- SG = F-43m, No. 216

---

Most stable: (i). Least stable: (ii).

---

(i)
Density functional theory data (PBE) for ZrAl2Ag after structural relaxation.

Structure (POSCAR):
```
ZrAl2Ag
1.0
7.367 0.000 0.000
0.000 7.367 0.000
0.000 0.000 5.807
Zr Al Ag
4 8 4
direct
0.000 0.000 0.000
0.000 0.500 0.250
0.500 0.000 0.750
0.500 0.500 0.500
0.219 0.250 0.625
0.250 0.719 0.875
0.250 0.781 0.375
0.281 0.250 0.125
0.719 0.750 0.125
0.750 0.219 0.375
0.750 0.281 0.875
0.781 0.750 0.625
0.000 0.000 0.500
0.000 0.500 0.750
0.500 0.000 0.250
0.500 0.500 0.000
```

Output
- D(E_F) (states/eV per atom) = 0.648
- SG = I-42d, No. 122

---

(ii)
Density functional theory data (PBE) for ZrAl2Ag after structural relaxation.

Structure (POSCAR):
```
ZrAl2Ag
1.0
3.029 0.000 0.000
0.000 4.406 0.000
-1.466 0.000 5.496
Zr Al Ag
1 2 1
direct
0.000 0.000 0.000
0.270 0.000 0.522
0.406 0.500 0.806
0.665 0.500 0.332
```

Output
- D(E_F) (states/eV per atom) = 0.618
- SG = Pm, No. 6

---

Most stable: (ii). Least stable: (i).

---

(i)
Density functional theory data (PBE) for Zr2AlAg2 after structural relaxation.

Structure (POSCAR):
```
Zr2AlAg2
1.0
3.693 0.000 0.000
0.000 3.693 0.000
0.000 0.000 15.892
Zr Al Ag
4 2 4
direct
0.000 0.000 0.095
0.000 0.000 0.905
0.500 0.500 0.405
0.500 0.500 0.595
0.000 0.000 0.500
0.500 0.500 0.000
0.000 0.500 0.250
0.000 0.500 0.750
0.500 0.000 0.250
0.500 0.000 0.750
```

Output
- D(E_F) (states/eV per atom) = 1.165
- SG = I4/mmm, No. 139

---

(ii)
Density functional theory data (PBE) for Zr2AlAg2 after structural relaxation.

Structure (POSCAR):
```
Zr2AlAg2
1.0
6.879 0.000 0.000
0.000 6.879 0.000
0.000 0.000 4.265
Zr Al Ag
4 2 4
direct
0.166 0.334 0.000
0.334 0.834 0.000
0.666 0.166 0.000
0.834 0.666 0.000
0.000 0.000 0.500
0.500 0.500 0.500
0.140 0.640 0.500
0.360 0.140 0.500
0.640 0.860 0.500
0.860 0.360 0.500
```

Output
- D(E_F) (states/eV per atom) = 0.980
- SG = P4/mbm, No. 127

---

Most stable: (ii). Least stable: (i).

---

(i)
Density functional theory data (PBE) for Zr2AlAg2 after structural relaxation.

Structure (POSCAR):
```
Zr2AlAg2
1.0
4.169 0.000 0.000
0.000 4.169 0.000
0.000 0.000 12.930
Zr Al Ag
4 2 4
direct
0.000 0.500 0.250
0.000 0.500 0.750
0.500 0.000 0.250
0.500 0.000 0.750
0.000 0.000 0.000
0.500 0.500 0.500
0.000 0.000 0.402
0.000 0.000 0.598
0.500 0.500 0.098
0.500 0.500 0.902
```

Output
- D(E_F) (states/eV per atom) = 0.759
- SG = I4/mmm, No. 139

---

(ii)
Density functional theory data (PBE) for Zr2AlAg2 after structural relaxation.

Structure (POSCAR):
```
Zr2AlAg2
1.0
3.039 0.000 0.000
0.000 21.612 0.000
0.000 0.000 3.037
Zr Al Ag
4 2 4
direct
0.000 0.093 0.000
0.000 0.907 0.000
0.500 0.407 0.000
0.500 0.593 0.000
0.000 0.500 0.500
0.500 0.000 0.500
0.000 0.306 0.500
0.000 0.694 0.500
0.500 0.194 0.500
0.500 0.806 0.500
```

Output
- D(E_F) (states/eV per atom) = 0.759
- SG = Cmmm, No. 65

---

Most stable: (ii). Least stable: (i).

---

(i)
Density functional theory data (PBE) for Zr4AlAg after structural relaxation.

Structure (POSCAR):
```
Zr4AlAg
1.0
6.561 0.000 0.000
0.000 6.570 0.000
0.000 0.000 6.625
Zr Al Ag
8 2 2
direct
0.250 0.250 0.244
0.250 0.250 0.756
0.250 0.750 0.244
0.250 0.750 0.756
0.750 0.250 0.244
0.750 0.250 0.756
0.750 0.750 0.244
0.750 0.750 0.756
0.000 0.000 0.000
0.500 0.500 0.000
0.000 0.500 0.500
0.500 0.000 0.500
```

Output
- D(E_F) (states/eV per atom) = 1.337
- SG = Cmmm, No. 65

---

(ii)
Density functional theory data (PBE) for Zr4AlAg after structural relaxation.

Structure (POSCAR):
```
Zr4AlAg
1.0
0.000 4.030 4.030
4.030 0.000 4.030
4.030 4.030 0.000
Zr Al Ag
4 1 1
direct
0.376 0.376 0.376
0.376 0.376 0.872
0.376 0.872 0.376
0.872 0.376 0.376
0.750 0.750 0.750
0.000 0.000 0.000
```

Output
- D(E_F) (states/eV per atom) = 0.928
- SG = F-43m, No. 216

---

Most stable: (i). Least stable: (ii).

---

(i)
Density functional theory data (PBE) for Ag5As after structural relaxation.

Structure (POSCAR):
```
Ag5As
1.0
4.839 0.000 0.000
0.000 2.952 0.000
0.000 0.000 15.255
Ag As
10 2
direct
0.000 0.000 0.000
0.000 0.000 0.332
0.000 0.000 0.665
0.000 0.500 0.165
0.000 0.500 0.500
0.000 0.500 0.832
0.500 0.000 0.220
0.500 0.000 0.554
0.500 0.500 0.054
0.500 0.500 0.720
0.500 0.000 0.888
0.500 0.500 0.388
```

Output
- D(E_F) (states/eV per atom) = 0.112
- SG = Amm2, No. 38

---

(ii)
Density functional theory data (PBE) for Ag5As after structural relaxation.

Structure (POSCAR):
```
Ag5As
1.0
5.437 0.000 0.000
-2.719 4.709 0.000
0.000 0.000 4.772
Ag As
5 1
direct
0.000 0.500 0.000
0.333 0.667 0.500
0.500 0.000 0.000
0.500 0.500 0.000
0.667 0.333 0.500
0.000 0.000 0.500
```

Output
- D(E_F) (states/eV per atom) = 0.382
- SG = P6/mmm, No. 191

---

Most stable: (i). Least stable: (ii).

---

(i)
Density functional theory data (PBE) for AgAs3 after structural relaxation.

Structure (POSCAR):
```
AgAs3
1.0
3.624 0.000 0.000
0.000 5.434 0.000
0.000 0.000 4.228
Ag As
1 3
direct
0.000 0.000 0.000
0.000 0.500 0.073
0.500 0.000 0.507
0.500 0.500 0.475
```

Output
- D(E_F) (states/eV per atom) = 0.325
- SG = Pmm2, No. 25

---

(ii)
Density functional theory data (PBE) for AgAs3 after structural relaxation.

Structure (POSCAR):
```
AgAs3
1.0
6.774 0.000 0.000
0.000 6.774 0.000
0.000 0.000 6.774
Ag As
4 12
direct
0.000 0.000 0.000
0.000 0.500 0.500
0.500 0.000 0.500
0.500 0.500 0.000
0.000 0.000 0.500
0.000 0.500 0.000
0.250 0.250 0.250
0.250 0.250 0.750
0.250 0.750 0.250
0.250 0.750 0.750
0.500 0.000 0.000
0.500 0.500 0.500
0.750 0.250 0.250
0.750 0.250 0.750
0.750 0.750 0.250
0.750 0.750 0.750
```

Output
- D(E_F) (states/eV per atom) = 0.588
- SG = Fm-3m, No. 225

---

Most stable: (i). Least stable: (ii).

---

(i)
Density functional theory data (PBE) for Ag2As after structural relaxation.

Structure (POSCAR):
```
Ag2As
1.0
2.909 0.000 0.000
0.000 3.978 0.000
0.000 0.000 20.816
Ag As
8 4
direct
0.000 0.250 0.048
0.000 0.250 0.192
0.000 0.750 0.808
0.000 0.750 0.952
0.500 0.250 0.308
0.500 0.250 0.452
0.500 0.750 0.548
0.500 0.750 0.692
0.000 0.250 0.619
0.000 0.750 0.381
0.500 0.250 0.881
0.500 0.750 0.119
```

Output
- D(E_F) (states/eV per atom) = 0.363
- SG = Imma, No. 74

---

(ii)
Density functional theory data (PBE) for Ag2As after structural relaxation.

Structure (POSCAR):
```
Ag2As
1.0
3.546 0.000 0.000
0.000 3.546 0.000
0.000 0.000 8.855
Ag As
4 2
direct
0.000 0.000 0.164
0.000 0.000 0.836
0.500 0.500 0.336
0.500 0.500 0.664
0.000 0.000 0.500
0.500 0.500 0.000
```

Output
- D(E_F) (states/eV per atom) = 0.380
- SG = I4/mmm, No. 139

---

Most stable: (ii). Least stable: (i).

---

(i)
Density functional theory data (PBE) for AgAs5 after structural relaxation.

Structure (POSCAR):
```
AgAs5
1.0
5.473 0.000 0.000
-2.737 4.740 0.000
0.000 0.000 4.917
Ag As
1 5
direct
0.000 0.000 0.000
0.000 0.500 0.500
0.333 0.667 0.000
0.500 0.000 0.500
0.500 0.500 0.500
0.667 0.333 0.000
```

Output
- D(E_F) (states/eV per atom) = 0.169
- SG = P6/mmm, No. 191

---

(ii)
Density functional theory data (PBE) for AgAs5 after structural relaxation.

Structure (POSCAR):
```
AgAs5
1.0
5.301 0.000 0.000
-2.651 4.591 0.000
0.000 0.000 4.929
Ag As
1 5
direct
0.000 0.000 0.000
0.000 0.717 0.500
0.283 0.283 0.500
0.333 0.667 0.000
0.667 0.333 0.000
0.717 0.000 0.500
```

Output
- D(E_F) (states/eV per atom) = 0.198
- SG = P-62m, No. 189

---

Most stable: (ii). Least stable: (i).

---

(i)
Density functional theory data (PBE) for AgAs5 after structural relaxation.

Structure (POSCAR):
```
AgAs5
1.0
3.622 0.000 0.000
0.000 4.493 0.000
0.000 0.000 16.382
Ag As
2 10
direct
0.000 0.000 0.000
0.000 0.500 0.500
0.000 0.000 0.314
0.000 0.000 0.595
0.000 0.500 0.095
0.000 0.500 0.814
0.500 0.000 0.203
0.500 0.000 0.487
0.500 0.000 0.793
0.500 0.500 0.293
0.500 0.500 0.703
0.500 0.500 0.987
```

Output
- D(E_F) (states/eV per atom) = 0.266
- SG = Amm2, No. 38

---

(ii)
Density functional theory data (PBE) for AgAs5 after structural relaxation.

Structure (POSCAR):
```
AgAs5
1.0
3.812 0.000 0.000
0.000 11.933 0.000
0.000 0.000 5.414
Ag As
2 10
direct
0.000 0.000 0.000
0.500 0.500 0.000
0.000 0.000 0.500
0.000 0.321 0.000
0.000 0.331 0.500
0.000 0.669 0.500
0.000 0.679 0.000
0.500 0.169 0.500
0.500 0.179 0.000
0.500 0.500 0.500
0.500 0.821 0.000
0.500 0.831 0.500
```

Output
- D(E_F) (states/eV per atom) = 0.452
- SG = Cmmm, No. 65

---

(iii)
Density functional theory data (PBE) for AgAs5 after structural relaxation.

Structure (POSCAR):
```
AgAs5
1.0
0.000 3.942 3.942
3.942 0.000 3.942
3.942 3.942 0.000
Ag As
1 5
direct
0.000 0.000 0.000
0.375 0.375 0.375
0.375 0.375 0.875
0.375 0.875 0.375
0.750 0.750 0.750
0.875 0.375 0.375
```

Output
- D(E_F) (states/eV per atom) = 0.640
- SG = F-43m, No. 216

---

Most stable: (ii). Least stable: (iii).